Computed, not measured: YPuAlO6 after structural relaxation at the PBE-GGA level of DFT.

Crystal system: trigonal
Magnetic moment (μB/atom): 0.222
D(E_F) (states/eV per atom): 0.857
ΔE_f (raw) (eV per atom): -2.8879

Unit cell a=5.2401 b=5.2401 c=9.8238 alpha=90.00 beta=90.00 gamma=120.00
Last column: nearest neighbours and their distance in Å.
Space group P-31c (No. 163)
Symmetry-distinct sites (fractional):
Y 0.0000 0.0000 0.0000 (multiplicity 2)  6 O 2.32
Pu 0.3333 0.6667 0.2500 (multiplicity 2)  6 O 2.07
Al 0.3333 0.6667 0.7500 (multiplicity 2)  6 O 1.94
O 0.0197 0.3650 0.6403 (multiplicity 12)  1 Al 1.94, 1 Pu 2.07



Computed, not measured: YPuAl2O8 after structural relaxation at the PBE-GGA level of DFT.

Crystal system: tetragonal
Magnetic moment (μB/atom): 0.083
D(E_F) (states/eV per atom): 0.460
ΔE_f (raw) (eV per atom): -2.6182

Unit cell a=6.8762 b=6.8762 c=6.4351 alpha=90.00 beta=90.00 gamma=90.00
Last column: nearest neighbours and their distance in Å.
Space group I-4m2 (No. 119)
Symmetry-distinct sites (fractional):
Y 0.0000 0.0000 0.0000 (multiplicity 2)  8 O 2.24-2.46
Pu 0.0000 0.5000 0.7500 (multiplicity 2)  8 O 2.13-2.32
Al 0.0000 0.0000 0.5000 (multiplicity 2)  4 O 1.78
Al 0.0000 0.5000 0.2500 (multiplicity 2)  4 O 1.75
O 0.0000 0.1965 0.6803 (multiplicity 8)  1 Al 1.78
O 0.0000 0.3211 0.0559 (multiplicity 8)  1 Al 1.75



Computed, not measured: PuAlZnO6 after structural relaxation at the PBE-GGA level of DFT.

Crystal system: trigonal
Magnetic moment (μB/atom): 0.111
D(E_F) (states/eV per atom): 0.074
ΔE_f (raw) (eV per atom): -2.1476

Unit cell a=5.1371 b=5.1371 c=9.0808 alpha=90.00 beta=90.00 gamma=120.00
Last column: nearest neighbours and their distance in Å.
Space group P-31c (No. 163)
Symmetry-distinct sites (fractional):
Pu 0.3333 0.6667 0.2500 (multiplicity 2)  6 O 2.02
Al 0.3333 0.6667 0.7500 (multiplicity 2)  6 O 1.93
Zn 0.0000 0.0000 0.0000 (multiplicity 2)  6 O 2.17
O 0.0134 0.3552 0.6347 (multiplicity 12)  1 Al 1.93, 1 Pu 2.02



Computed, not measured: Rb2AlO after structural relaxation at the PBE-GGA level of DFT.

Crystal system: tetragonal
Magnetic moment (μB/atom): 0.063
Energy relative to the lowest polymorph listed for this composition (eV/f.u.): 0.00
D(E_F) (states/eV per atom): 0.878
ΔE_f (raw) (eV per atom): -0.6247

Unit cell a=13.0249 b=13.0249 c=3.7039 alpha=90.00 beta=90.00 gamma=90.00
Last column: nearest neighbours and their distance in Å.
Space group I-42d (No. 122)
Symmetry-distinct sites (fractional):
Rb 0.0591 0.7500 0.1250 (multiplicity 8)  2 O 3.38, 2 Al 3.62, 2 Rb 3.70
Al 0.0000 0.0000 0.5000 (multiplicity 4)  2 O 1.85
O 0.0000 0.0000 0.0000 (multiplicity 4)  2 Al 1.85



Computed, not measured: RbAl2O after structural relaxation at the PBE-GGA level of DFT.

Crystal system: tetragonal
Magnetic moment (μB/atom): 0.000
D(E_F) (states/eV per atom): 0.196
ΔE_f (raw) (eV per atom): -0.3154

Unit cell a=5.1508 b=5.1508 c=14.1979 alpha=90.00 beta=90.00 gamma=90.00
Last column: nearest neighbours and their distance in Å.
Space group I4_1/amd (No. 141, origin choice 2)
Symmetry-distinct sites (fractional):
Rb 0.0000 0.2500 0.3750 (multiplicity 4)  8 Al 3.38, 4 O 3.64
Al 0.0000 0.0000 0.0000 (multiplicity 8)  2 O 2.19
O 0.0000 0.2500 0.8750 (multiplicity 4)  4 Al 2.19



Computed, not measured: Rb2AlO after structural relaxation at the PBE-GGA level of DFT.

Crystal system: cubic
Magnetic moment (μB/atom): 0.000
Energy relative to the lowest polymorph listed for this composition (eV/f.u.): 3.54
D(E_F) (states/eV per atom): 0.590
ΔE_f (raw) (eV per atom): 0.2597

Unit cell a=7.8458 b=7.8458 c=7.8458 alpha=90.00 beta=90.00 gamma=90.00
Last column: nearest neighbours and their distance in Å.
Space group Fm-3m (No. 225)
Symmetry-distinct sites (fractional):
Rb 0.2500 0.2500 0.2500 (multiplicity 8)  4 O 3.40, 4 Al 3.40
Al 0.0000 0.0000 0.0000 (multiplicity 4)  8 Rb 3.40
O 0.0000 0.0000 0.5000 (multiplicity 4)  8 Rb 3.40